DFT (PBE+U) results for UInFeO6 after structural relaxation.

Results
N(E_F): 0.00 states/eV per cell
Electronic total energy: -134.52 eV per cell
Total moment: 0.113 μB/atom
Crystal system: tetragonal

Cell: 4.8821 4.8821 9.5606 Å, 90.00 90.00 90.00°
Positions (direct):
O: 0.2048 0.7952 0.4923
O: 0.1827 0.8173 0.1596
O: 0.3086 0.3086 0.3473
O: 0.7952 0.2048 0.4923
O: 0.7048 0.7048 0.9923
O: 0.1914 0.8086 0.8473
O: 0.3173 0.3173 0.6596
O: 0.2952 0.2952 0.9923
O: 0.8086 0.1914 0.8473
O: 0.6827 0.6827 0.6596
O: 0.6914 0.6914 0.3473
O: 0.8173 0.1827 0.1596
Fe: 0.0000 0.0000 0.9993
Fe: 0.5000 0.5000 0.4993
U: 0.5000 0.5000 0.8340
U: 0.0000 0.0000 0.3340
In: 0.5000 0.5000 0.1684
In: 0.0000 0.0000 0.6684